Entry from the Alexandria database: a geometry-optimized KLiMgTl structure (PBE).

Cell and atoms, written as CIF:
```
data_KLiMgTl
_chemical_formula_sum 'K1 Li1 Mg1 Tl1'
_cell_length_a 5.3949
_cell_length_b 5.3949
_cell_length_c 5.3949
_cell_angle_alpha 60.00
_cell_angle_beta 60.00
_cell_angle_gamma 60.00
_symmetry_space_group_name_H-M 'P 1'
_symmetry_Int_Tables_number 1
_symmetry_space_group_name_Hall 'P 1'
loop_
_atom_site_label
_atom_site_type_symbol
_atom_site_fract_x
_atom_site_fract_y
_atom_site_fract_z
Li1 Li 0.0000 0.0000 0.0000
Tl1 Tl 0.2500 0.2500 0.2500
K1 K 0.7500 0.7500 0.7500
Mg1 Mg 0.5000 0.5000 0.5000
```

Properties
Energy of formation in meV/atom: 33
Energy in eV/atom: -1.710

=====

Entry from the Alexandria database: a geometry-optimized B2TeO2 structure (PBE).

Cell and atoms, written as CIF:
```
data_B2TeO2
_chemical_formula_sum 'B4 Te2 O4'
_cell_length_a 6.5852
_cell_length_b 6.5852
_cell_length_c 2.6213
_cell_angle_alpha 90.00
_cell_angle_beta 90.00
_cell_angle_gamma 90.00
_symmetry_space_group_name_H-M 'P 1'
_symmetry_Int_Tables_number 1
_symmetry_space_group_name_Hall 'P 1'
loop_
_atom_site_label
_atom_site_type_symbol
_atom_site_fract_x
_atom_site_fract_y
_atom_site_fract_z
B1 B 0.0957 0.4043 0.0000
O1 O 0.6138 0.8862 0.5000
B2 B 0.4043 0.9043 0.0000
O2 O 0.3862 0.1138 0.5000
Te1 Te 0.5000 0.5000 0.0000
Te2 Te 0.0000 0.0000 0.0000
O3 O 0.8862 0.3862 0.5000
B3 B 0.5957 0.0957 0.0000
B4 B 0.9043 0.5957 0.0000
O4 O 0.1138 0.6138 0.5000
```

Properties
Energy relative to the elements, uncorrected in eV per atom: 0.85
Energy above the lowest structure with this stoichiometry in eV/atom: 0.010
Energy in eV/atom: -4.438

=====

Entry from the Alexandria database: a geometry-optimized NbTlCuTcTe structure (PBE).

Cell and atoms, written as CIF:
```
data_NbTlCuTcTe
_chemical_formula_sum 'Nb1 Tl1 Cu1 Tc1 Te1'
_cell_length_a 4.5698
_cell_length_b 5.2079
_cell_length_c 5.3240
_cell_angle_alpha 62.32
_cell_angle_beta 83.74
_cell_angle_gamma 65.52
_symmetry_space_group_name_H-M 'P 1'
_symmetry_Int_Tables_number 1
_symmetry_space_group_name_Hall 'P 1'
loop_
_atom_site_label
_atom_site_type_symbol
_atom_site_fract_x
_atom_site_fract_y
_atom_site_fract_z
Nb1 Nb 0.0145 0.2700 0.8942
Te1 Te 0.8317 0.4818 0.3136
Tc1 Tc 0.6241 0.0365 0.8295
Tl1 Tl 0.2973 0.7168 0.7395
Cu1 Cu 0.5545 0.1178 0.2913
```

Properties
Energy relative to the elements, uncorrected in eV per atom: 0.28
Energy above the lowest structure with this stoichiometry in eV/atom: 0.177
Energy in eV/atom: -5.733

=====

Entry from the Alexandria database: a geometry-optimized La2TiCo16 structure (PBE).

Cell and atoms, written as CIF:
```
data_La2TiCo16
_chemical_formula_sum 'La2 Ti1 Co16'
_cell_length_a 6.3655
_cell_length_b 6.3655
_cell_length_c 6.3655
_cell_angle_alpha 83.18
_cell_angle_beta 83.18
_cell_angle_gamma 83.18
_symmetry_space_group_name_H-M 'P 1'
_symmetry_Int_Tables_number 1
_symmetry_space_group_name_Hall 'P 1'
loop_
_atom_site_label
_atom_site_type_symbol
_atom_site_fract_x
_atom_site_fract_y
_atom_site_fract_z
Co1 Co 0.9980 0.5056 0.9980
Co2 Co 0.9981 0.2868 0.7121
Co3 Co 0.3430 0.8537 0.3430
Co4 Co 0.3430 0.3430 0.8537
Co5 Co 0.8537 0.3430 0.3430
Co6 Co 0.7121 0.9981 0.2868
Co7 Co 0.9021 0.9021 0.9021
Co8 Co 0.5056 0.9980 0.9980
Co9 Co 0.6590 0.1455 0.6590
Co10 Co 0.6590 0.6590 0.1455
Co11 Co 0.1455 0.6590 0.6590
Ti1 Ti 0.0930 0.0930 0.0930
Co12 Co 0.9980 0.9980 0.5056
Co13 Co 0.9981 0.7121 0.2868
Co14 Co 0.2868 0.9981 0.7121
La1 La 0.6543 0.6543 0.6543
Co15 Co 0.2868 0.7121 0.9981
Co16 Co 0.7121 0.2868 0.9981
La2 La 0.3519 0.3519 0.3519
```

Properties
Energy of formation in meV/atom: -91
Energy in eV/atom: -7.009

=====

Entry from the Alexandria database: a geometry-optimized CrFeCo2Bi structure (PBE).

Cell and atoms, written as CIF:
```
data_CrFeCo2Bi
_chemical_formula_sum 'Cr1 Fe1 Co2 Bi1'
_cell_length_a 4.6786
_cell_length_b 4.8728
_cell_length_c 4.6786
_cell_angle_alpha 90.00
_cell_angle_beta 90.00
_cell_angle_gamma 90.00
_symmetry_space_group_name_H-M 'P 1'
_symmetry_Int_Tables_number 1
_symmetry_space_group_name_Hall 'P 1'
loop_
_atom_site_label
_atom_site_type_symbol
_atom_site_fract_x
_atom_site_fract_y
_atom_site_fract_z
Fe1 Fe 0.5000 0.5000 0.5000
Co1 Co 0.5000 0.0000 0.0000
Cr1 Cr 0.0000 0.5000 0.0000
Bi1 Bi 0.0000 0.0000 0.0000
Co2 Co 0.0000 0.0000 0.5000
```

Properties
Energy of formation in meV/atom: 2063
Energy above the lowest structure with this stoichiometry in eV/atom: 0.000
Energy in eV/atom: -5.173

=====

Entry from the Alexandria database: a geometry-optimized Pm2NdTh3Se6 structure (PBE).

Cell and atoms, written as CIF:
```
data_Pm2NdTh3Se6
_chemical_formula_sum 'Pm2 Nd1 Th3 Se6'
_cell_length_a 7.1815
_cell_length_b 7.1815
_cell_length_c 7.3704
_cell_angle_alpha 99.25
_cell_angle_beta 99.25
_cell_angle_gamma 119.01
_symmetry_space_group_name_H-M 'P 1'
_symmetry_Int_Tables_number 1
_symmetry_space_group_name_Hall 'P 1'
loop_
_atom_site_label
_atom_site_type_symbol
_atom_site_fract_x
_atom_site_fract_y
_atom_site_fract_z
Th1 Th 0.8348 0.1652 0.5000
Se1 Se 0.5822 0.9175 0.7526
Se2 Se 0.2536 0.2536 0.7546
Se3 Se 0.0825 0.4178 0.2474
Pm1 Pm 0.3330 0.6670 0.0000
Se4 Se 0.4178 0.0825 0.2474
Th2 Th 0.1652 0.8348 0.5000
Pm2 Pm 0.6670 0.3330 0.0000
Se5 Se 0.7464 0.7464 0.2454
Nd1 Nd 0.0000 0.0000 0.0000
Th3 Th 0.5000 0.5000 0.5000
Se6 Se 0.9175 0.5822 0.7526
```

Properties
Energy relative to the elements, uncorrected in eV per atom: -1.67
Energy in eV/atom: -6.460

=====

Entry from the Alexandria database: a geometry-optimized Sm2AlNi4P3 structure (PBE).

Cell and atoms, written as CIF:
```
data_Sm2AlNi4P3
_chemical_formula_sum 'Sm2 Al1 Ni4 P3'
_cell_length_a 3.9195
_cell_length_b 3.9195
_cell_length_c 9.7543
_cell_angle_alpha 90.00
_cell_angle_beta 90.00
_cell_angle_gamma 90.00
_symmetry_space_group_name_H-M 'P 1'
_symmetry_Int_Tables_number 1
_symmetry_space_group_name_Hall 'P 1'
loop_
_atom_site_label
_atom_site_type_symbol
_atom_site_fract_x
_atom_site_fract_y
_atom_site_fract_z
Sm1 Sm 0.0000 0.5000 0.7601
P1 P 0.5000 0.0000 0.8695
Al1 Al 0.5000 0.5000 0.5000
P2 P 0.0000 0.0000 0.5000
Sm2 Sm 0.5000 0.0000 0.2399
Ni1 Ni 0.5000 0.0000 0.6346
Ni2 Ni 0.0000 0.5000 0.3654
Ni3 Ni 0.0000 0.0000 0.0000
P3 P 0.0000 0.5000 0.1305
Ni4 Ni 0.5000 0.5000 0.0000
```

Properties
Energy of formation in meV/atom: -956
Energy in eV/atom: -6.210

=====

Entry from the Alexandria database: a geometry-optimized Sc2ReSb structure (PBE).

Cell and atoms, written as CIF:
```
data_Sc2ReSb
_chemical_formula_sum 'Sc2 Re1 Sb1'
_cell_length_a 4.7243
_cell_length_b 4.7243
_cell_length_c 4.7243
_cell_angle_alpha 60.00
_cell_angle_beta 60.00
_cell_angle_gamma 60.00
_symmetry_space_group_name_H-M 'P 1'
_symmetry_Int_Tables_number 1
_symmetry_space_group_name_Hall 'P 1'
loop_
_atom_site_label
_atom_site_type_symbol
_atom_site_fract_x
_atom_site_fract_y
_atom_site_fract_z
Sc1 Sc 0.0000 0.0000 0.0000
Sb1 Sb 0.2500 0.2500 0.2500
Re1 Re 0.5000 0.5000 0.5000
Sc2 Sc 0.7500 0.7500 0.7500
```

Properties
Energy relative to the elements, uncorrected in eV per atom: -0.17
Energy in eV/atom: -7.482

=====

Entry from the Alexandria database: a geometry-optimized LaZn2Tc structure (PBE).

Cell and atoms, written as CIF:
```
data_LaZn2Tc
_chemical_formula_sum 'La1 Zn2 Tc1'
_cell_length_a 4.8176
_cell_length_b 6.3953
_cell_length_c 3.5911
_cell_angle_alpha 56.08
_cell_angle_beta 89.87
_cell_angle_gamma 117.11
_symmetry_space_group_name_H-M 'P 1'
_symmetry_Int_Tables_number 1
_symmetry_space_group_name_Hall 'P 1'
loop_
_atom_site_label
_atom_site_type_symbol
_atom_site_fract_x
_atom_site_fract_y
_atom_site_fract_z
Tc1 Tc 0.5000 0.0000 0.5000
La1 La 0.5000 0.5000 0.0000
Zn1 Zn 0.0000 0.0000 0.0000
Zn2 Zn 0.0000 0.5000 0.5000
```

Properties
Energy of formation in meV/atom: 194
Energy above the lowest structure with this stoichiometry in eV/atom: 0.202
Energy in eV/atom: -4.266

=====

Entry from the Alexandria database: a geometry-optimized HoCoAu structure (PBE).

Cell and atoms, written as CIF:
```
data_HoCoAu
_chemical_formula_sum 'Ho2 Co2 Au2'
_cell_length_a 3.9281
_cell_length_b 4.8632
_cell_length_c 6.4651
_cell_angle_alpha 100.87
_cell_angle_beta 107.69
_cell_angle_gamma 90.00
_symmetry_space_group_name_H-M 'P 1'
_symmetry_Int_Tables_number 1
_symmetry_space_group_name_Hall 'P 1'
loop_
_atom_site_label
_atom_site_type_symbol
_atom_site_fract_x
_atom_site_fract_y
_atom_site_fract_z
Au1 Au 0.5778 0.7719 0.1556
Co1 Co 0.2298 0.8903 0.4596
Ho1 Ho 0.1202 0.3199 0.2405
Ho2 Ho 0.8798 0.6801 0.7595
Au2 Au 0.4222 0.2281 0.8444
Co2 Co 0.7702 0.1097 0.5404
```

Properties
Energy of formation in meV/atom: -440
Energy in eV/atom: -5.427

=====

Entry from the Alexandria database: a geometry-optimized CaSi2Au structure (PBE).

Cell and atoms, written as CIF:
```
data_CaSi2Au
_chemical_formula_sum 'Ca1 Si2 Au1'
_cell_length_a 4.7996
_cell_length_b 4.7996
_cell_length_c 4.7996
_cell_angle_alpha 60.00
_cell_angle_beta 60.00
_cell_angle_gamma 60.00
_symmetry_space_group_name_H-M 'P 1'
_symmetry_Int_Tables_number 1
_symmetry_space_group_name_Hall 'P 1'
loop_
_atom_site_label
_atom_site_type_symbol
_atom_site_fract_x
_atom_site_fract_y
_atom_site_fract_z
Au1 Au 0.5000 0.5000 0.5000
Si1 Si 0.0000 0.0000 0.0000
Ca1 Ca 0.7500 0.7500 0.7500
Si2 Si 0.2500 0.2500 0.2500
```

Properties
Energy relative to the elements, uncorrected in eV per atom: 0.03
Energy in eV/atom: -4.003

=====

Entry from the Alexandria database: a geometry-optimized DyHo2Au structure (PBE).

Cell and atoms, written as CIF:
```
data_DyHo2Au
_chemical_formula_sum 'Dy4 Ho8 Au4'
_cell_length_a 6.6540
_cell_length_b 6.9367
_cell_length_c 9.7074
_cell_angle_alpha 90.00
_cell_angle_beta 90.00
_cell_angle_gamma 90.00
_symmetry_space_group_name_H-M 'P 1'
_symmetry_Int_Tables_number 1
_symmetry_space_group_name_Hall 'P 1'
loop_
_atom_site_label
_atom_site_type_symbol
_atom_site_fract_x
_atom_site_fract_y
_atom_site_fract_z
Ho1 Ho 0.6941 0.8037 0.9455
Ho2 Ho 0.8059 0.3037 0.9455
Ho3 Ho 0.1941 0.6963 0.0545
Ho4 Ho 0.3059 0.1963 0.0545
Dy1 Dy 0.6170 0.5118 0.2500
Ho5 Ho 0.8059 0.3037 0.5545
Ho6 Ho 0.6941 0.8037 0.5545
Au1 Au 0.0416 0.4116 0.2500
Au2 Au 0.5416 0.0884 0.7500
Au3 Au 0.9584 0.5884 0.7500
Ho7 Ho 0.3059 0.1963 0.4455
Au4 Au 0.4584 0.9116 0.2500
Dy2 Dy 0.8830 0.0118 0.2500
Dy3 Dy 0.3830 0.4882 0.7500
Ho8 Ho 0.1941 0.6963 0.4455
Dy4 Dy 0.1170 0.9882 0.7500
```

Properties
Energy of formation in meV/atom: -451
Energy above the lowest structure with this stoichiometry in eV/atom: 0.000
Energy in eV/atom: -4.710

=====

Entry from the Alexandria database: a geometry-optimized Pu2ScGe2Rh5 structure (PBE).

Cell and atoms, written as CIF:
```
data_Pu2ScGe2Rh5
_chemical_formula_sum 'Pu4 Sc2 Ge4 Rh10'
_cell_length_a 3.6620
_cell_length_b 9.8598
_cell_length_c 9.8598
_cell_angle_alpha 90.00
_cell_angle_beta 90.00
_cell_angle_gamma 90.00
_symmetry_space_group_name_H-M 'P 1'
_symmetry_Int_Tables_number 1
_symmetry_space_group_name_Hall 'P 1'
loop_
_atom_site_label
_atom_site_type_symbol
_atom_site_fract_x
_atom_site_fract_y
_atom_site_fract_z
Sc1 Sc 0.0000 0.5000 0.5000
Rh1 Rh 0.5000 0.2893 0.5688
Rh2 Rh 0.5000 0.2107 0.0688
Rh3 Rh 0.5000 0.4312 0.2893
Pu1 Pu 0.0000 0.3260 0.8260
Rh4 Rh 0.5000 0.5688 0.7107
Ge1 Ge 0.0000 0.1243 0.6243
Pu2 Pu 0.0000 0.6740 0.1740
Ge2 Ge 0.0000 0.3757 0.1243
Sc2 Sc 0.0000 0.0000 0.0000
Rh5 Rh 0.5000 0.7107 0.4312
Ge3 Ge 0.0000 0.6243 0.8757
Ge4 Ge 0.0000 0.8757 0.3757
Rh6 Rh 0.5000 0.5000 0.0000
Rh7 Rh 0.5000 0.9312 0.2107
Rh8 Rh 0.5000 0.0688 0.7893
Pu3 Pu 0.0000 0.8260 0.6740
Pu4 Pu 0.0000 0.1740 0.3260
Rh9 Rh 0.5000 0.7893 0.9312
Rh10 Rh 0.5000 0.0000 0.5000
```

Properties
Energy of formation in meV/atom: -606
Energy in eV/atom: -8.705

=====

For reference, calculated volume by record: 111.0, 56.8, 101.6, 252.9, 106.7, 315.3, 149.9, 74.6, 76.6, 57.7, 78.2, 112.0, 178.0 Å³/f.u..